(1)
VASP calculation (PBEsol) on an optimized crystal structure of TaRe2Cl. Values from VASP.

```
&SYSTEM
  ibrav = 0, nat = 4, ntyp = 3
/
ATOMIC_SPECIES
Re 186.21 Re.upf
Cl 35.45 Cl.upf
Ta 180.95 Ta.upf
CELL_PARAMETERS angstrom
-1.6885 -0.9019 -3.3075
-0.3663 -3.6184 1.1737
-2.7340 3.1822 2.7357
ATOMIC_POSITIONS crystal
Re 0.0000 0.0000 0.0000
Re 0.7500 0.2500 0.5000
Cl 0.2500 0.7500 0.5000
Ta 0.5000 0.5000 0.0000
```

Output
D(E_F) ... 3.60 states/eV/f.u.
Polymorph energy (0 for the lowest one) ... 0.1469 eV/atom

---

(2)
VASP calculation (PBEsol) on an optimized crystal structure of Ta2ReCl. Values from VASP.

```
&SYSTEM
  ibrav = 0, nat = 4, ntyp = 3
/
ATOMIC_SPECIES
Re 186.21 Re.upf
Cl 35.45 Cl.upf
Ta 180.95 Ta.upf
CELL_PARAMETERS angstrom
3.7054 0.0000 0.0000
0.0000 3.7054 0.0000
-1.8527 -1.8527 4.7493
ATOMIC_POSITIONS crystal
Re 0.2500 0.7500 0.5000
Cl 0.5000 0.5000 0.0000
Ta 0.0000 0.0000 0.0000
Ta 0.7500 0.2500 0.5000
```

Output
D(E_F) ... 3.89 states/eV/f.u.
Polymorph energy (0 for the lowest one) ... 0.0482 eV/atom

---

(3)
VASP calculation (PBEsol) on an optimized crystal structure of Ta2ReCl. Values from VASP.

```
&SYSTEM
  ibrav = 0, nat = 4, ntyp = 3
/
ATOMIC_SPECIES
Re 186.21 Re.upf
Cl 35.45 Cl.upf
Ta 180.95 Ta.upf
CELL_PARAMETERS angstrom
3.0730 0.0000 0.0000
0.0000 4.3791 0.0000
0.0000 0.0000 4.8188
ATOMIC_POSITIONS crystal
Re 0.0000 0.5000 0.5000
Cl 0.5000 0.5000 0.0000
Ta 0.0000 0.0000 0.0000
Ta 0.5000 0.0000 0.5000
```

Output
D(E_F) ... 3.94 states/eV/f.u.
Polymorph energy (0 for the lowest one) ... 0.0000 eV/atom

---

(4)
VASP calculation (PBEsol) on an optimized crystal structure of ReTc2Cl. Values from VASP.

```
&SYSTEM
  ibrav = 0, nat = 4, ntyp = 3
/
ATOMIC_SPECIES
Re 186.21 Re.upf
Tc 98.00 Tc.upf
Cl 35.45 Cl.upf
CELL_PARAMETERS angstrom
-2.0907 1.9091 0.1320
-1.3845 -1.7797 3.8126
2.6936 2.7921 2.2814
ATOMIC_POSITIONS crystal
Re 0.0000 0.5000 0.5000
Tc 0.0000 0.0000 0.0000
Tc 0.5000 0.0000 0.5000
Cl 0.5000 0.5000 0.0000
```

Output
D(E_F) ... 3.19 states/eV/f.u.
Polymorph energy (0 for the lowest one) ... 0.0902 eV/atom

---

(5)
VASP calculation (PBEsol) on an optimized crystal structure of ReTc2Cl. Values from VASP.

```
&SYSTEM
  ibrav = 0, nat = 4, ntyp = 3
/
ATOMIC_SPECIES
Re 186.21 Re.upf
Tc 98.00 Tc.upf
Cl 35.45 Cl.upf
CELL_PARAMETERS angstrom
-2.6264 0.9866 0.4148
-0.8229 -3.3778 2.8238
1.4764 2.4947 3.4143
ATOMIC_POSITIONS crystal
Re 0.5000 0.0000 0.0000
Tc 0.0000 0.0000 0.5000
Tc 0.0000 0.5000 0.0000
Cl 0.5000 0.5000 0.5000
```

Output
D(E_F) ... 3.64 states/eV/f.u.
Polymorph energy (0 for the lowest one) ... 0.0000 eV/atom

---

(6)
VASP calculation (PBEsol) on an optimized crystal structure of ReTc2Cl. Values from VASP.

```
&SYSTEM
  ibrav = 0, nat = 4, ntyp = 3
/
ATOMIC_SPECIES
Re 186.21 Re.upf
Tc 98.00 Tc.upf
Cl 35.45 Cl.upf
CELL_PARAMETERS angstrom
3.6909 0.0000 0.0000
0.0000 3.6909 0.0000
-1.8455 -1.8455 4.2229
ATOMIC_POSITIONS crystal
Re 0.2500 0.7500 0.5000
Tc 0.0000 0.0000 0.0000
Tc 0.7500 0.2500 0.5000
Cl 0.5000 0.5000 0.0000
```

Output
D(E_F) ... 4.33 states/eV/f.u.
Polymorph energy (0 for the lowest one) ... 0.3513 eV/atom

---

(7)
VASP calculation (PBEsol) on an optimized crystal structure of Re2TcTeCl. Values from VASP.

```
&SYSTEM
  ibrav = 0, nat = 5, ntyp = 4
/
ATOMIC_SPECIES
Re 186.21 Re.upf
Te 127.60 Te.upf
Tc 98.00 Tc.upf
Cl 35.45 Cl.upf
CELL_PARAMETERS angstrom
4.8431 0.0000 0.0000
0.0000 4.8431 0.0000
0.0000 0.0000 5.0382
ATOMIC_POSITIONS crystal
Re 0.0000 0.5000 0.0000
Re 0.5000 0.0000 0.0000
Te 0.0000 0.0000 0.0000
Tc 0.5000 0.5000 0.5000
Cl 0.0000 0.0000 0.5000
```

Output
D(E_F) ... 3.30 states/eV/f.u.
DFT total energy ... -30.0 eV per cell

---

(8)
VASP calculation (PBEsol) on an optimized crystal structure of ReTcTe2Cl. Values from VASP.

```
&SYSTEM
  ibrav = 0, nat = 5, ntyp = 4
/
ATOMIC_SPECIES
Re 186.21 Re.upf
Te 127.60 Te.upf
Tc 98.00 Tc.upf
Cl 35.45 Cl.upf
CELL_PARAMETERS angstrom
4.3276 0.0000 0.0000
0.0000 5.2402 0.0000
0.0000 0.0000 5.2402
ATOMIC_POSITIONS crystal
Re 0.5000 0.5000 0.5000
Te 0.0000 0.0000 0.5000
Te 0.0000 0.5000 0.0000
Tc 0.0000 0.0000 0.0000
Cl 0.5000 0.0000 0.0000
```

Output
D(E_F) ... 4.87 states/eV/f.u.
DFT total energy ... -27.2 eV per cell

---

(9)
VASP calculation (PBEsol) on an optimized crystal structure of ReTe3Cl. Values from VASP.

```
&SYSTEM
  ibrav = 0, nat = 5, ntyp = 3
/
ATOMIC_SPECIES
Re 186.21 Re.upf
Te 127.60 Te.upf
Cl 35.45 Cl.upf
CELL_PARAMETERS angstrom
5.1752 0.0000 0.0000
0.0000 5.1752 0.0000
0.0000 0.0000 5.1752
ATOMIC_POSITIONS crystal
Re 0.0000 0.0000 0.0000
Te 0.0000 0.5000 0.0000
Te 0.0000 0.0000 0.5000
Te 0.5000 0.0000 0.0000
Cl 0.5000 0.5000 0.5000
```

Output
D(E_F) ... 4.24 states/eV/f.u.
DFT total energy ... -23.4 eV per cell

---

(10)
VASP calculation (PBEsol) on an optimized crystal structure of ReTe2Cl12. Values from VASP.

```
&SYSTEM
  ibrav = 0, nat = 15, ntyp = 3
/
ATOMIC_SPECIES
Cl 35.45 Cl.upf
Re 186.21 Re.upf
Te 127.60 Te.upf
CELL_PARAMETERS angstrom
6.5168 0.0231 0.0506
3.1424 6.3027 0.0243
0.3963 3.6718 10.2099
ATOMIC_POSITIONS crystal
Cl 0.5987 0.2166 0.9875
Cl 0.4013 0.7834 0.0125
Cl 0.9971 0.7635 0.2083
Cl 0.0029 0.2365 0.7917
Cl 0.9351 0.7758 0.9033
Cl 0.0649 0.2242 0.0967
Cl 0.5073 0.7419 0.3536
Cl 0.4927 0.2581 0.6464
Cl 0.5683 0.2676 0.2986
Cl 0.4317 0.7324 0.7014
Cl 0.0333 0.2714 0.4196
Cl 0.9667 0.7286 0.5804
Re 0.0000 0.0000 0.0000
Te 0.7438 0.5057 0.2412
Te 0.2562 0.4943 0.7588
```

Output
DFT total energy ... -53.2 eV per cell

---

(11)
VASP calculation (PBEsol) on an optimized crystal structure of ReTe2Cl4. Values from VASP.

```
&SYSTEM
  ibrav = 0, nat = 28, ntyp = 3
/
ATOMIC_SPECIES
Re 186.21 Re.upf
Te 127.60 Te.upf
Cl 35.45 Cl.upf
CELL_PARAMETERS angstrom
10.4703 0.1534 0.2290
-4.5602 9.4263 -0.2290
-4.5602 -3.7995 8.6296
ATOMIC_POSITIONS crystal
Re 0.8985 0.4534 0.5946
Re 0.1015 0.6961 0.5548
Re 0.8587 0.4054 0.3039
Re 0.1413 0.4452 0.5466
Te 0.7773 0.5758 0.4171
Te 0.2227 0.6398 0.7985
Te 0.1587 0.5829 0.3602
Te 0.8413 0.2015 0.4242
Te 0.8625 0.3282 0.7946
Te 0.1375 0.9321 0.4657
Te 0.5336 0.2054 0.0679
Te 0.4664 0.5343 0.6718
Cl 0.6044 0.2739 0.5168
Cl 0.3956 0.9124 0.6695
Cl 0.7571 0.4832 0.0876
Cl 0.2429 0.3305 0.7261
Cl 0.8888 0.6027 0.7951
Cl 0.1112 0.9063 0.7139
Cl 0.8076 0.2049 0.0937
Cl 0.1924 0.2861 0.3973
Cl 0.1382 0.4521 0.0235
Cl 0.8618 0.8853 0.3139
Cl 0.4286 0.9765 0.1147
Cl 0.5714 0.6861 0.5479
Cl 0.8325 0.0854 0.7185
Cl 0.1675 0.8861 0.2530
Cl 0.3669 0.2815 0.1139
Cl 0.6331 0.7470 0.9146
```

Output
D(E_F) ... 0.00 states/eV/f.u.
DFT total energy ... -128.0 eV per cell

---

(12)
VASP calculation (PBEsol) on an optimized crystal structure of Re2TeCl. Values from VASP.

```
&SYSTEM
  ibrav = 0, nat = 4, ntyp = 3
/
ATOMIC_SPECIES
Re 186.21 Re.upf
Te 127.60 Te.upf
Cl 35.45 Cl.upf
CELL_PARAMETERS angstrom
-0.9854 1.8332 -2.1895
-3.3574 -1.2099 2.5819
1.9023 4.2185 2.6759
ATOMIC_POSITIONS crystal
Re 0.7495 0.4991 0.7829
Re 0.2505 0.5009 0.2171
Te 0.0000 0.0000 0.5000
Cl 0.5000 0.0000 0.0000
```

Output
D(E_F) ... 2.86 states/eV/f.u.
Polymorph energy (0 for the lowest one) ... 0.0000 eV/atom

---

| no. | volume (Å³/atom) |
| --- | --- |
| 1 | 15.40 |
| 2 | 16.30 |
| 3 | 16.21 |
| 4 | 14.13 |
| 5 | 14.22 |
| 6 | 14.38 |
| 7 | 23.63 |
| 8 | 23.77 |
| 9 | 27.72 |
| 10 | 27.90 |
| 11 | 30.81 |
| 12 | 16.34 |